Density functional theory data (PBE) for a relaxed structure of RbThAg2Br8.

**ρ**: 4.271 g/cm³
**Final energy**: -3.413 eV/atom
**Total magnetic moment**: 0.0 μB per formula unit

```
RbThAg2Br8
1.0
6.993 -0.822 0.070
-0.872 6.635 2.455
-0.143 3.148 11.158
Br Ag Th Rb
8 2 1 1
Direct
0.127 0.644 0.259
0.140 0.854 0.843
0.377 0.326 0.918
0.510 0.225 0.506
0.490 0.775 0.494
0.860 0.146 0.157
0.873 0.356 0.741
0.623 0.674 0.082
0.438 0.297 0.698
0.562 0.703 0.302
0.000 0.000 0.000
0.000 0.000 0.500
```



Density functional theory data (PBE) for a relaxed structure of RbTiAgBr6.

**ρ**: 3.579 g/cm³
**Final energy**: -3.510 eV/atom
**Total magnetic moment**: 0.0 μB per formula unit

```
RbTiAgBr6
1.0
7.413 0.196 0.128
3.877 6.322 -0.128
0.130 -0.225 7.261
Br Ti Ag Rb
6 1 1 1
Direct
0.620 0.332 0.686
0.045 0.589 0.734
0.589 0.045 0.266
0.028 0.371 0.310
0.371 0.028 0.690
0.332 0.620 0.314
0.340 0.340 0.500
0.662 0.662 0.500
0.012 0.012 0.000
```



Density functional theory data (PBE) for a relaxed structure of RbTi2AgBr8.

**ρ**: 3.547 g/cm³
**Final energy**: -3.825 eV/atom
**Total magnetic moment**: 2.0 μB per formula unit

```
RbTi2AgBr8
1.0
7.086 0.000 0.000
-3.543 6.137 0.000
0.000 0.000 9.993
Br Ti Ag Rb
8 2 1 1
Direct
0.329 0.317 0.322
0.988 0.671 0.322
0.333 0.667 0.989
0.012 0.329 0.678
0.667 0.333 0.011
0.671 0.683 0.678
0.317 0.988 0.678
0.683 0.012 0.322
0.333 0.667 0.747
0.667 0.333 0.253
0.000 0.000 0.500
0.000 0.000 0.000
```



Number 1: E_form (uncorrected) -1.123 eV/atom. Number 2: E_form (uncorrected) -1.093 eV/atom. Number 3: E_form (uncorrected) -1.076 eV/atom.